1.
DFT (PBE) results for a geometry-optimized Y2MgSe structure.

abc: 3.8714 3.8714 25.3114
angles: 90.00 90.00 120.00
With the nearest neighbours (Å) after each atom.
Space group R-3m (No. 166, hexagonal axes)
Unique sites:
Y  0.0000  0.0000  0.2366 (multiplicity 6)  3 Se 2.85
Mg  0.0000  0.0000  0.0000 (multiplicity 3)  6 Y 3.32
Se  0.0000  0.0000  0.5000 (multiplicity 3)  6 Y 2.85

## Properties
- ΔE_f (raw) (eV per formula unit) = -3.44
- E above lowest polymorph (eV per atom) = 0.000
- VASP energy (eV/atom) = -5.3616



2.
DFT (PBE) results for a geometry-optimized Y2MgSe structure.

abc: 3.8417 5.8797 9.9495
angles: 90.00 90.00 90.00
With the nearest neighbours (Å) after each atom.
Space group Immm (No. 71)
Unique sites:
Y  0.0000  0.0000  0.2074 (multiplicity 4)  2 Se 2.82
Mg  0.0000  0.5000  0.0000 (multiplicity 2)  8 Y 3.49-3.59, 4 Se 3.51, 2 Mg 3.84
Se  0.0000  0.5000  0.5000 (multiplicity 2)  4 Y 2.82

## Properties
- ΔE_f (raw) (eV per formula unit) = -2.32
- E above lowest polymorph (eV per atom) = 0.281
- VASP energy (eV/atom) = -5.0807



3.
DFT (PBE) results for a geometry-optimized YMgSe3 structure.

abc: 7.0898 7.0898 18.4190
angles: 90.00 90.00 120.00
With the nearest neighbours (Å) after each atom.
Space group R-3 (No. 148, hexagonal axes)
Unique sites:
Y  0.0000  0.0000  0.1536 (multiplicity 6)  6 Se 2.84-2.87
Mg  0.0000  0.0000  0.3470 (multiplicity 6)  6 Se 2.69-2.81
Se  0.0107  0.3176  0.2527 (multiplicity 18)  2 Mg 2.69-2.81, 2 Y 2.84-2.87

## Properties
- ΔE_f (raw) (eV per formula unit) = -6.22
- E above lowest polymorph (eV per atom) = 0.000
- VASP energy (eV/atom) = -4.9460



4.
DFT (PBE) results for a geometry-optimized Y5MgSe6 structure.

abc: 7.0284 12.2430 7.0189
angles: 90.00 109.50 90.00
With the nearest neighbours (Å) after each atom.
Space group C2/m (No. 12)
Unique sites:
Y  0.0000  0.0000  0.0000 (multiplicity 2)  6 Se 2.87-2.99
Y  0.0000  0.1672  0.5000 (multiplicity 4)  6 Se 2.88-2.90
Y  0.0000  0.3279  0.0000 (multiplicity 4)  6 Se 2.86-2.95
Mg  0.0000  0.5000  0.5000 (multiplicity 2)  6 Se 2.74-2.75
Se  0.2358  0.5000  0.2574 (multiplicity 4)  1 Mg 2.74, 5 Y 2.90-2.99
Se  0.2390  0.3410  0.7409 (multiplicity 8)  1 Mg 2.75, 5 Y 2.86-2.95

## Properties
- ΔE_f (raw) (eV per formula unit) = -19.83
- VASP energy (eV/atom) = -6.2214



What did the third record say?
DFT (PBE) results for a geometry-optimized YMgSe3 structure.

abc: 7.0898 7.0898 18.4190
angles: 90.00 90.00 120.00
With the nearest neighbours (Å) after each atom.
Space group R-3 (No. 148, hexagonal axes)
Unique sites:
Y  0.0000  0.0000  0.1536 (multiplicity 6)  6 Se 2.84-2.87
Mg  0.0000  0.0000  0.3470 (multiplicity 6)  6 Se 2.69-2.81
Se  0.0107  0.3176  0.2527 (multiplicity 18)  2 Mg 2.69-2.81, 2 Y 2.84-2.87

## Properties
- ΔE_f (raw) (eV per formula unit) = -6.22
- E above lowest polymorph (eV per atom) = 0.000
- VASP energy (eV/atom) = -4.9460



What is the formula in the third record?
YMgSe3